Density functional theory data (PBE-GGA) for a relaxed structure of Er3Tm2Pb.

Cell lengths 4.854, 4.828, 7.795 Å; angles 108.04, 90.00, 90.00 degrees
Atoms (fractional coordinates):
1 Tm 0.000 0.664 0.328
2 Tm 0.000 0.336 0.672
3 Er 0.500 0.170 0.341
4 Er 0.500 0.830 0.659
5 Er 0.500 0.500 0.000
6 Pb 0.000 0.000 0.000

- formation energy from the elements (eV/atom) = -0.181